# ErSF, relaxed, DFT GGA-PBEsol
data_ErSF
_cell_length_a 3.686
_cell_length_b 3.686
_cell_length_c 6.719
_cell_angle_alpha 90.00
_cell_angle_beta 90.00
_cell_angle_gamma 90.00
_space_group_name_H-M_alt 'P 4/n m m'
_space_group_IT_number 129
loop_
_space_group_symop_operation_xyz
'x,y,z'
'-x,-y,-z'
'-y+1/2,x,z'
'y+1/2,-x,-z'
'-x+1/2,-y+1/2,z'
'x+1/2,y+1/2,-z'
'y,-x+1/2,z'
'-y,x+1/2,-z'
'x+1/2,-y,-z'
'-x+1/2,y,z'
'-y,-x,-z'
'y,x,z'
'-x,y+1/2,-z'
'x,-y+1/2,z'
'y+1/2,x+1/2,-z'
'-y+1/2,-x+1/2,z'
loop_
_atom_site_label
_atom_site_type_symbol
_atom_site_fract_x
_atom_site_fract_y
_atom_site_fract_z
Er1 Er 0.250 0.250 0.227
S1 S 0.250 0.250 0.642
F1 F 0.250 0.750 0.000
# - Energy relative to the elements, uncorrected: -9.239 eV/f.u.
# - DFT total energy: -6.83 eV per atom
# - Magnetic moment: 0.00 μB per formula unit

***

# Cr2Ir3, relaxed, DFT GGA-PBEsol
data_Cr2Ir3
_cell_length_a 2.6567
_cell_length_b 2.6567
_cell_length_c 32.1227
_cell_angle_alpha 90.00
_cell_angle_beta 90.00
_cell_angle_gamma 120.00
_space_group_name_H-M_alt 'R -3 m'
_space_group_IT_number 166
_space_group_name_Hall '-R 3 2"'
loop_
_atom_site_label
_atom_site_type_symbol
_atom_site_fract_x
_atom_site_fract_y
_atom_site_fract_z
Cr1 Cr 0.0000 0.0000 0.1003
Ir1 Ir 0.0000 0.0000 0.2961
Ir2 Ir 0.0000 0.0000 0.5000
# - D(E_F): 4.2 states/eV/f.u.
# - DFT total energy: -10.09 eV per atom
# - Magnetic moment: 0.00 μB per formula unit
# - Formation enthalpy at 0 K: -47.6 kJ/mol of formula units

***

# CaFeTc2, relaxed, DFT GGA-PBEsol
data_CaFeTc2
_cell_length_a 3.053
_cell_length_b 3.053
_cell_length_c 7.132
_cell_angle_alpha 90.00
_cell_angle_beta 90.00
_cell_angle_gamma 90.00
_space_group_name_H-M_alt 'P 4 m m'
_space_group_IT_number 99
loop_
_space_group_symop_operation_xyz
'x,y,z'
'-y,x,z'
'-x,-y,z'
'y,-x,z'
'-x,y,z'
'y,x,z'
'x,-y,z'
'-y,-x,z'
loop_
_atom_site_label
_atom_site_type_symbol
_atom_site_fract_x
_atom_site_fract_y
_atom_site_fract_z
Ca1 Ca 0.000 0.000 0.000
Fe1 Fe 0.500 0.500 0.305
Tc1 Tc 0.000 0.000 0.495
Tc2 Tc 0.500 0.500 0.686
# - D(E_F): 6.1 states/eV/f.u.
# - DFT total energy: -7.99 eV per atom
# - Offset from the most stable computed form: 0.0 meV per atom
# - Magnetic moment: 2.88 μB per formula unit
# - Formation enthalpy at 0 K: 161.1 kJ/mol of formula units